Entry 1:
A relaxed KBiRh3 crystal. Source: Alexandria, functional PBE.

Computed properties:
DFT formation energy ... 1.80 eV/atom
Magnetic moment ... 0.9 μB/f.u.
Density ... 8.38 g/cm3
V ... 110.28 Å³/cell
Offset from the most stable computed form ... 934 meV/atom

Lattice parameters (Å, degrees): 4.7955 4.7955 4.7955 90.00 90.00 90.00
With the nearest neighbours (Å) after each atom.
Space group Pm-3m (No. 221)
One atom of each set of equivalent atoms:
K 0.0000 0.0000 0.0000 (multiplicity 1)  6 Rh 2.40
Bi 0.5000 0.5000 0.5000 (multiplicity 1)  12 Rh 3.39
Rh 0.0000 0.0000 0.5000 (multiplicity 3)  2 K 2.40

=====

Entry 2:
A relaxed MgCoIrRh crystal. Source: Alexandria, functional PBE.

Computed properties:
DFT formation energy ... -0.06 eV/atom
Magnetic moment ... 3.4 μB/f.u.
Density ... 11.20 g/cm3
V ... 224.37 Å³/cell

Lattice parameters (Å, degrees): 6.0765 6.0765 6.0765 90.00 90.00 90.00
With the nearest neighbours (Å) after each atom.
Space group F-43m (No. 216)
One atom of each set of equivalent atoms:
Mg 0.0000 0.0000 0.0000 (multiplicity 4)  4 Ir 2.63, 4 Rh 2.63
Co 0.0000 0.0000 0.5000 (multiplicity 4)  4 Ir 2.63, 4 Rh 2.63
Ir 0.2500 0.2500 0.2500 (multiplicity 4)  4 Co 2.63, 4 Mg 2.63
Rh 0.2500 0.2500 0.7500 (multiplicity 4)  4 Co 2.63, 4 Mg 2.63

=====

Entry 3:
A relaxed RbBa2Au2 crystal. Source: Alexandria, functional PBE.

Computed properties:
DFT formation energy ... -0.39 eV/atom
Magnetic moment ... 0.0 μB/f.u.
Density ... 6.67 g/cm3
V ... 375.56 Å³/cell
Offset from the most stable computed form ... 95 meV/atom

Lattice parameters (Å, degrees): 9.6956 9.6956 3.9951 90.00 90.00 90.00
With the nearest neighbours (Å) after each atom.
Space group P4/mbm (No. 127)
One atom of each set of equivalent atoms:
Rb 0.0000 0.0000 0.0000 (multiplicity 2)  4 Ba 3.75, 2 Rb 4.00, 8 Au 4.19
Ba 0.1398 0.3602 0.0000 (multiplicity 4)  6 Au 3.46-3.49, 2 Rb 3.75, 1 Ba 3.83
Au 0.1512 0.6512 0.5000 (multiplicity 4)  6 Ba 3.46-3.49

=====

Entry 4:
A relaxed RbIn3Au crystal. Source: Alexandria, functional PBE.

Computed properties:
DFT formation energy ... -0.08 eV/atom
Magnetic moment ... 0.0 μB/f.u.
Density ... 6.86 g/cm3
V ... 303.41 Å³/cell
Offset from the most stable computed form ... 111 meV/atom

Lattice parameters (Å, degrees): 7.3336 7.3336 6.5137 90.00 90.00 120.00
With the nearest neighbours (Å) after each atom.
Space group P6_3/mmc (No. 194)
One atom of each set of equivalent atoms:
Rb 0.3333 0.6667 0.2500 (multiplicity 2)  12 In 3.67-3.76
In 0.1854 0.3709 0.7500 (multiplicity 6)  2 Au 2.86
Au 0.0000 0.0000 0.0000 (multiplicity 2)  6 In 2.86

=====

Entry 5:
A relaxed BaTlRu crystal. Source: Alexandria, functional PBE.

Computed properties:
DFT formation energy ... 0.30 eV/atom
Magnetic moment ... 0.3 μB/f.u.
Density ... 8.02 g/cm3
V ... 91.70 Å³/cell
Offset from the most stable computed form ... 0 meV/atom

Lattice parameters (Å, degrees): 4.6908 4.6908 4.8120 90.00 90.00 120.00
With the nearest neighbours (Å) after each atom.
Space group P-6m2 (No. 187)
One atom of each set of equivalent atoms:
Ba 0.0000 0.0000 0.0000 (multiplicity 1)  6 Tl 3.62, 6 Ru 3.62
Tl 0.3333 0.6667 0.5000 (multiplicity 1)  3 Ru 2.71
Ru 0.6667 0.3333 0.5000 (multiplicity 1)  3 Tl 2.71

=====

Entry 6:
A relaxed NdPu2UAs4 crystal. Source: Alexandria, functional PBE.

Computed properties:
DFT formation energy ... -1.04 eV/atom
Magnetic moment ... 8.3 μB/f.u.
Density ... 9.56 g/cm3
V ... 406.57 Å³/cell

Lattice parameters (Å, degrees): 5.8813 5.8813 11.7540 90.00 90.00 90.00
With the nearest neighbours (Å) after each atom.
Space group I-4m2 (No. 119)
One atom of each set of equivalent atoms:
Nd 0.0000 0.0000 0.0000 (multiplicity 2)  6 As 2.94-2.99
Pu 0.0000 0.0000 0.5000 (multiplicity 2)  6 As 2.89-2.94
Pu 0.0000 0.5000 0.2500 (multiplicity 2)  6 As 2.94-2.98
U 0.0000 0.5000 0.7500 (multiplicity 2)  6 As 2.89-2.94
As 0.0000 0.0000 0.2544 (multiplicity 4)  3 Pu 2.89-2.94, 2 U 2.94, 1 Nd 2.99
As 0.0000 0.5000 0.5039 (multiplicity 4)  1 U 2.89, 2 Nd 2.94, 3 Pu 2.94-2.98

=====

Entry 7:
A relaxed Y2AgP crystal. Source: Alexandria, functional PBE.

Computed properties:
DFT formation energy ... -0.86 eV/atom
Magnetic moment ... 0.0 μB/f.u.
Density ... 5.28 g/cm3
V ... 299.04 Å³/cell

Lattice parameters (Å, degrees): 4.0295 4.0295 21.2681 90.00 90.00 120.00
With the nearest neighbours (Å) after each atom.
Space group R-3m (No. 166, hexagonal axes)
One atom of each set of equivalent atoms:
Y 0.0000 0.0000 0.2383 (multiplicity 6)  3 P 2.78, 3 Ag 3.08
Ag 0.0000 0.0000 0.0000 (multiplicity 3)  6 Y 3.08
P 0.0000 0.0000 0.5000 (multiplicity 3)  6 Y 2.78

=====

Entry 8:
A relaxed Pm2InP crystal. Source: Alexandria, functional PBE.

Computed properties:
DFT formation energy ... -0.97 eV/atom
Magnetic moment ... 0.0 μB/f.u.
Density ... 6.38 g/cm3
V ... 340.42 Å³/cell
Offset from the most stable computed form ... 0 meV/atom

Lattice parameters (Å, degrees): 4.0418 4.0418 24.0624 90.00 90.00 120.00
With the nearest neighbours (Å) after each atom.
Space group R-3m (No. 166, hexagonal axes)
One atom of each set of equivalent atoms:
Pm 0.0000 0.0000 0.2350 (multiplicity 6)  3 P 2.86
In 0.0000 0.0000 0.0000 (multiplicity 3)  6 Pm 3.32
P 0.0000 0.0000 0.5000 (multiplicity 3)  6 Pm 2.86